Here is an optimized crystal structure of PuFe2CuO8 from the Alexandria database. Energies are from PBE with a Hubbard U.

Unit cell a=6.609 b=6.609 c=6.758 alpha=90.00 beta=90.00 gamma=90.00
Space group I-4m2 (No. 119)
Unique sites:
1 Pu 0.000 0.000 0.000 (multiplicity 2)
2 Fe 0.000 0.000 0.500 (multiplicity 2)
3 Fe 0.000 0.500 0.750 (multiplicity 2)
4 Cu 0.000 0.500 0.250 (multiplicity 2)
5 O 0.000 0.197 0.303 (multiplicity 8)
6 O 0.000 0.297 0.938 (multiplicity 8)

Values from the calculation:
- raw total energy (eV/atom) = -6.991